Arrangement 1

A geometry-optimized Gd2DyCd structure, computed with GGA-PBE.

a = 5.4743 Å, b = 5.4743 Å, c = 5.4743 Å
α = 60.00°, β = 60.00°, γ = 60.00°
Last column: nearest neighbours and their distance in Å.
Atoms (fractional coordinates):
Gd 0.7500 0.7500 0.7500  4 Dy 3.35, 4 Cd 3.35
Gd 0.2500 0.2500 0.2500  4 Cd 3.35, 4 Dy 3.35
Dy 0.0000 0.0000 0.0000  8 Gd 3.35
Cd 0.5000 0.5000 0.5000  8 Gd 3.35



Arrangement 2

A geometry-optimized Gd2DyCd structure, computed with GGA-PBE.

a = 4.8943 Å, b = 4.8661 Å, c = 4.8661 Å
α = 90.00°, β = 90.00°, γ = 90.00°
Last column: nearest neighbours and their distance in Å.
Atoms (fractional coordinates):
Gd 0.0000 0.0000 0.5000  4 Gd 3.44, 4 Dy 3.45, 4 Cd 3.45
Gd 0.0000 0.5000 0.0000  4 Gd 3.44, 4 Dy 3.45, 4 Cd 3.45
Dy 0.5000 0.0000 0.0000  4 Cd 3.44, 8 Gd 3.45
Cd 0.5000 0.5000 0.5000  4 Dy 3.44, 8 Gd 3.45



Of them, arrangement 2 has the highest stability.